[1]
MnInIBr4 (GGA-PBE, relaxed); space-group type = No. 12; formation energy from raw total energies = -688 meV/atom
1.0
7.261 -3.914 0.000
7.261 3.914 0.000
-4.704 0.000 10.595
Mn In I Br
2 2 2 8
Direct
0.018 0.018 0.161
0.982 0.982 0.839
0.370 0.370 0.659
0.630 0.630 0.341
0.154 0.154 0.058
0.846 0.846 0.942
0.246 0.745 0.287
0.255 0.754 0.713
0.279 0.279 0.423
0.282 0.282 0.803
0.718 0.718 0.197
0.721 0.721 0.577
0.745 0.246 0.287
0.754 0.255 0.713


[2]
Li2LaHgMo (GGA-PBE, relaxed); N(E_F) = 1.102 states/eV per atom; energy of formation = 377 kJ/mol of formula units; space-group type = No. 123
1.0
4.743 0.000 0.000
0.000 4.743 0.000
0.000 0.000 6.091
Li La Hg Mo
2 1 1 1
Direct
0.000 0.500 0.000
0.500 0.000 0.000
0.000 0.000 0.500
0.000 0.000 0.000
0.500 0.500 0.500


[3]
TmCu2F6 (GGA-PBE, relaxed); N(E_F) = 0.428 states/eV per atom; space-group type = No. 12; formation energy from raw total energies = -2553 meV/atom
1.0
5.526 -1.965 0.000
5.526 1.965 0.000
-4.272 0.000 5.715
Tm Cu F
1 2 6
Direct
0.000 0.000 0.000
0.182 0.182 0.641
0.818 0.818 0.359
0.002 0.002 0.307
0.253 0.253 0.319
0.378 0.378 0.965
0.622 0.622 0.035
0.747 0.747 0.681
0.998 0.998 0.693


[4]
Dy8Al2Pb (GGA-PBE, relaxed); N(E_F) = 1.058 states/eV per atom; energy of formation = -238 kJ/mol of formula units; space-group type = No. 12
1.0
8.402 -2.458 0.000
8.402 2.458 0.000
-2.843 0.000 7.416
Dy Al Pb
8 2 1
Direct
0.049 0.049 0.229
0.160 0.160 0.732
0.321 0.321 0.559
0.395 0.395 0.039
0.605 0.605 0.961
0.679 0.679 0.441
0.840 0.840 0.268
0.951 0.951 0.771
0.218 0.218 0.157
0.782 0.782 0.843
0.500 0.500 0.500


[5]
SrMgSn2Pd4 (GGA-PBE, relaxed); N(E_F) = 0.608 states/eV per atom; energy of formation = -518 kJ/mol of formula units; space-group type = No. 166
1.0
2.291 1.322 9.015
-2.291 1.322 9.015
0.000 -2.645 9.015
Sr Mg Sn Pd
1 1 2 4
Direct
0.000 0.000 0.000
0.500 0.500 0.500
0.239 0.239 0.239
0.761 0.761 0.761
0.134 0.134 0.134
0.404 0.404 0.404
0.596 0.596 0.596
0.866 0.866 0.866


[6]
BaGa2Au10 (GGA-PBE, relaxed); N(E_F) = 0.250 states/eV per atom; energy of formation = -299 kJ/mol of formula units; space-group type = No. 69
1.0
0.000 6.294 7.519
2.760 0.000 7.519
2.760 6.294 0.000
Ba Ga Au
1 2 10
Direct
0.000 0.000 0.000
0.000 0.500 0.000
0.500 0.000 0.500
0.000 0.000 0.500
0.008 0.342 0.658
0.264 0.491 0.509
0.342 0.008 0.992
0.491 0.264 0.736
0.500 0.500 0.000
0.509 0.736 0.264
0.658 0.992 0.008
0.736 0.509 0.491
0.992 0.658 0.342


Number 1: magnetization 10.0 μB per cell, calculated volume 43.0 Å³ per atom. Number 2: magnetization 2.7 μB per cell, calculated volume 27.4 Å³ per atom. Number 3: magnetization 1.0 μB per cell, calculated volume 13.8 Å³ per atom. Number 4: magnetization 0.0 μB per cell, calculated volume 27.9 Å³ per atom. Number 5: magnetization 0.0 μB per cell, calculated volume 20.5 Å³ per atom. Number 6: magnetization 0.0 μB per cell, calculated volume 20.1 Å³ per atom.